[1]
5
Lattice="4.513 0.000 0.000 0.000 4.513 0.000 -2.257 -2.257 6.472" Properties=species:S:1:pos:R:3 comment="Y2Ta2I (meta-GGA SCAN, single point on PBEsol structure)" sg=I4/mmm final_energy_ev_per_atom=-43.782 n_ef_per_ev_cell=6.80 pbc="T T T"
Y 2.257 0.000 3.236
Y 0.000 2.257 3.236
Ta 0.000 0.000 5.297
Ta 2.257 2.257 1.175
I 0.000 0.000 0.000

=====

[2]
4
Lattice="4.902 0.000 0.000 2.451 4.245 0.000 2.451 1.415 4.003" Properties=species:S:1:pos:R:3 comment="Zr2TaI (meta-GGA SCAN, single point on PBEsol structure)" sg=Fm-3m final_energy_ev_per_atom=-40.760 n_ef_per_ev_cell=3.10 pbc="T T T"
Ta 4.902 2.830 2.001
Zr 7.353 4.245 3.002
Zr 2.451 1.415 1.001
I 0.000 0.000 0.000

=====

[3]
5
Lattice="5.083 0.000 0.000 0.000 5.083 0.000 0.000 0.000 5.083" Properties=species:S:1:pos:R:3 comment="Zr3TaI (meta-GGA SCAN, single point on PBEsol structure)" sg=Pm-3m final_energy_ev_per_atom=-37.801 n_ef_per_ev_cell=5.19 pbc="T T T"
I 0.000 0.000 0.000
Zr 2.542 0.000 0.000
Zr 0.000 2.542 0.000
Zr 0.000 0.000 2.542
Ta 2.542 2.542 2.542

=====

[4]
40
Lattice="6.753 0.000 0.000 0.000 12.972 0.042 0.000 -0.034 15.730" Properties=species:S:1:pos:R:3 comment="TcI4 (meta-GGA SCAN, single point on PBEsol structure)" sg=P2_1/c final_energy_ev_per_atom=-36.530 pbc="T T T"
I 0.394 3.181 1.034
I 6.215 9.745 3.058
I 1.756 6.657 10.894
I 2.838 9.680 12.735
I 5.121 6.419 1.076
I 4.997 0.164 12.724
I 1.632 12.885 6.850
I 3.915 3.200 10.905
I 3.771 3.272 14.717
I 6.359 9.758 14.738
I 5.122 0.054 8.922
I 1.745 6.399 6.829
I 6.360 9.645 6.869
I 2.983 9.667 1.055
I 1.756 12.774 3.048
I 3.770 3.159 6.848
I 1.745 0.033 14.675
I 1.621 0.171 10.873
I 5.009 12.905 1.097
I 3.915 3.259 3.037
I 1.632 6.519 14.696
I 1.621 6.288 3.027
I 6.215 9.686 10.926
I 5.133 6.650 12.745
I 2.983 9.779 8.924
I 5.008 6.540 8.943
I 0.538 3.194 12.714
I 5.133 12.768 4.899
I 0.393 3.293 8.903
I 2.838 9.738 4.867
I 0.538 3.252 4.846
I 4.997 6.282 4.878
Tc 3.992 11.258 2.859
Tc 6.138 4.772 2.838
Tc 3.992 8.174 10.716
Tc 6.138 1.688 10.695
Tc 0.616 11.250 5.077
Tc 2.761 1.680 12.913
Tc 2.761 4.764 5.056
Tc 0.615 8.166 12.934